DFT (PBE) results for a relaxed structure of TbPmPr4.

Properties
Energy relative to the lowest polymorph listed for this composition (meV per atom): 158
Calculated formation energy (eV per formula unit): 1.03
Uncorrected energy (eV per atom): -4.579
Symmetry: C2/m, No. 12

Cell lengths 6.227, 6.227, 11.775 Å; angles 118.27, 118.27, 32.81 degrees
Sites, in units of the cell vectors:
Tb 0.000 0.000 0.000
Pm 0.000 0.000 0.500
Pr 0.187 0.187 0.342
Pr 0.189 0.189 0.845
Pr 0.811 0.811 0.155
Pr 0.813 0.813 0.658


DFT (PBE) results for a relaxed structure of CuTe4Cl.

Properties
Energy relative to the lowest polymorph listed for this composition (meV per atom): 439
Raw formation energy (eV per atom): 0.481
Uncorrected energy (eV per atom): -2.604
Symmetry: F-43m, No. 216

Cell lengths 6.260, 6.260, 6.260 Å; angles 60.00, 60.00, 60.00 degrees
Sites, in units of the cell vectors:
Cu 0.000 0.000 0.000
Te 0.126 0.625 0.625
Te 0.625 0.126 0.625
Te 0.625 0.625 0.126
Te 0.625 0.625 0.625
Cl 0.250 0.250 0.250


DFT (PBE) results for a relaxed structure of Pr8Ni2Au.

Properties
Calculated formation energy (eV per formula unit): -1.37
Uncorrected energy (eV per atom): -4.950
Symmetry: Cm, No. 8

Cell lengths 8.025, 8.025, 6.025 Å; angles 98.97, 98.97, 116.29 degrees
Sites, in units of the cell vectors:
Pr 0.000 0.000 0.000
Pr 0.033 0.291 0.603
Pr 0.158 0.609 0.187
Pr 0.291 0.033 0.603
Pr 0.469 0.726 0.781
Pr 0.609 0.158 0.187
Pr 0.726 0.469 0.781
Pr 0.756 0.756 0.372
Ni 0.085 0.676 0.690
Ni 0.676 0.085 0.690
Au 0.380 0.380 0.054


DFT (PBE) results for a relaxed structure of TmTlZn4.

Properties
Calculated formation energy (eV per formula unit): -0.54
Uncorrected energy (eV per atom): -2.079
Symmetry: F-43m, No. 216

Cell lengths 5.487, 5.487, 5.487 Å; angles 60.00, 60.00, 60.00 degrees
Sites, in units of the cell vectors:
Tm 0.000 0.000 0.000
Tl 0.750 0.750 0.750
Zn 0.374 0.374 0.374
Zn 0.374 0.374 0.878
Zn 0.374 0.878 0.374
Zn 0.878 0.374 0.374


DFT (PBE) results for a relaxed structure of HfZr2Pd.

Properties
Energy relative to the lowest polymorph listed for this composition (meV per atom): 168
Calculated formation energy (eV per formula unit): -0.75
Uncorrected energy (eV per atom): -8.248
Symmetry: R3m, No. 160

Cell lengths 9.762, 9.762, 9.762 Å; angles 18.73, 18.73, 18.73 degrees
Sites, in units of the cell vectors:
Hf 0.000 0.000 0.000
Zr 0.579 0.579 0.579
Zr 0.755 0.755 0.755
Pd 0.168 0.168 0.168


DFT (PBE) results for a relaxed structure of KLiIrSe2.

Properties
Raw formation energy (eV per atom): 0.111
Uncorrected energy (eV per atom): -3.657
Symmetry: P4/mmm, No. 123

Cell lengths 4.999, 4.999, 5.646 Å; angles 90.00, 90.00, 90.00 degrees
Sites, in units of the cell vectors:
K 0.000 0.000 0.000
Li 0.500 0.500 0.000
Ir 0.000 0.000 0.500
Se 0.000 0.500 0.500
Se 0.500 0.000 0.500


DFT (PBE) results for a relaxed structure of LiCuNiAs.

Properties
Calculated formation energy (eV per formula unit): -0.97
Uncorrected energy (eV per atom): -4.352
Symmetry: F-43m, No. 216

Cell lengths 4.116, 4.116, 4.116 Å; angles 60.00, 60.00, 60.00 degrees
Sites, in units of the cell vectors:
Li 0.000 0.000 0.000
Cu 0.250 0.250 0.250
Ni 0.750 0.750 0.750
As 0.500 0.500 0.500


DFT (PBE) results for a relaxed structure of SnBiMo.

Properties
Energy relative to the lowest polymorph listed for this composition (meV per atom): 32
Calculated formation energy (eV per formula unit): 0.68
Uncorrected energy (eV per atom): -6.012
Symmetry: P1, No. 1

Cell lengths 3.294, 5.374, 9.006 Å; angles 78.96, 89.94, 72.21 degrees
Sites, in units of the cell vectors:
Sn 0.000 0.000 0.000
Sn 0.367 0.271 0.690
Bi 0.077 0.851 0.462
Bi 0.776 0.446 0.260
Mo 0.263 0.475 0.971
Mo 0.654 0.695 0.770


DFT (PBE) results for a relaxed structure of Ho4TmSc2.

Properties
Energy relative to the lowest polymorph listed for this composition (meV per atom): 0
Calculated formation energy (eV per formula unit): 1.03
Uncorrected energy (eV per atom): -4.917
Symmetry: P2_1/m, No. 11

Cell lengths 5.411, 6.748, 11.534 Å; angles 90.00, 103.58, 90.00 degrees
Sites, in units of the cell vectors:
Ho 0.075 0.250 0.151
Ho 0.215 0.750 0.431
Ho 0.355 0.000 0.709
Ho 0.355 0.500 0.709
Ho 0.645 0.000 0.291
Ho 0.645 0.500 0.291
Ho 0.785 0.250 0.569
Ho 0.925 0.750 0.849
Tm 0.073 0.750 0.144
Tm 0.927 0.250 0.856
Sc 0.215 0.250 0.428
Sc 0.500 0.250 0.002
Sc 0.500 0.750 0.998
Sc 0.785 0.750 0.572


DFT (PBE) results for a relaxed structure of Y2TiHg.

Properties
Calculated formation energy (eV per formula unit): 1.24
Uncorrected energy (eV per atom): -4.972
Symmetry: R-3m, No. 166

Cell lengths 11.171, 11.171, 11.171 Å; angles 17.37, 17.37, 17.37 degrees
Sites, in units of the cell vectors:
Y 0.090 0.090 0.090
Y 0.910 0.910 0.910
Ti 0.000 0.000 0.000
Hg 0.500 0.500 0.500


DFT (PBE) results for a relaxed structure of MnNb8S2.

Properties
Raw formation energy (eV per atom): 0.074
Uncorrected energy (eV per atom): -8.834
Symmetry: C2/m, No. 12

Cell lengths 6.675, 6.675, 4.885 Å; angles 91.50, 91.50, 71.68 degrees
Sites, in units of the cell vectors:
Mn 0.000 0.000 0.000
Nb 0.187 0.187 0.777
Nb 0.204 0.615 0.751
Nb 0.385 0.385 0.246
Nb 0.385 0.796 0.249
Nb 0.615 0.204 0.751
Nb 0.615 0.615 0.754
Nb 0.796 0.385 0.249
Nb 0.813 0.813 0.223
S 0.156 0.156 0.295
S 0.844 0.844 0.705


DFT (PBE) results for a relaxed structure of NbCuPtO6.

Properties
Raw formation energy (eV per atom): -1.120
Uncorrected energy (eV per atom): -6.670
Symmetry: P-31c, No. 163

Cell lengths 5.113, 5.113, 9.013 Å; angles 90.00, 90.00, 120.00 degrees
Sites, in units of the cell vectors:
Nb 0.333 0.667 0.250
Nb 0.667 0.333 0.750
Cu 0.000 0.000 0.000
Cu 0.000 0.000 0.500
Pt 0.333 0.667 0.750
Pt 0.667 0.333 0.250
O 0.001 0.340 0.127
O 0.001 0.661 0.373
O 0.339 0.340 0.373
O 0.339 0.999 0.127
O 0.340 0.001 0.627
O 0.340 0.339 0.873
O 0.660 0.661 0.127
O 0.660 0.999 0.373
O 0.661 0.001 0.873
O 0.661 0.660 0.627
O 0.999 0.339 0.627
O 0.999 0.660 0.873


Number 2 is which compound? CuTe4Cl